Record 1
A crystal of Mn2IrW relaxed with PBEsol, computed with meta-GGA SCAN. Values from VASP.

Calculated values
- calculated formation energy (eV per atom) = -0.108
- V (Å³/atom) = 12.846

Cell and atoms, written as Quantum ESPRESSO input:
```
&SYSTEM
  ibrav = 0, nat = 4, ntyp = 3
/
ATOMIC_SPECIES
Mn 54.94 Mn.upf
Ir 192.22 Ir.upf
W 183.84 W.upf
ATOMIC_POSITIONS angstrom
Mn 1.873 0.000 1.830
Mn 0.000 1.873 1.830
Ir 0.000 0.000 0.000
W 0.000 0.000 3.661
CELL_PARAMETERS angstrom
-1.873 1.873 3.661
1.873 -1.873 3.661
1.873 1.873 -3.661
```

=====

Record 2
A crystal of Mn2IrW relaxed with PBEsol, computed with meta-GGA SCAN. Values from VASP.

Calculated values
- calculated formation energy (eV per atom) = -0.289
- V (Å³/atom) = 12.996

Cell and atoms, written as Quantum ESPRESSO input:
```
&SYSTEM
  ibrav = 0, nat = 4, ntyp = 3
/
ATOMIC_SPECIES
Mn 54.94 Mn.upf
Ir 192.22 Ir.upf
W 183.84 W.upf
ATOMIC_POSITIONS angstrom
Mn 0.000 0.000 0.000
Mn 0.000 1.850 1.899
Ir 0.000 0.000 3.798
W 1.850 0.000 1.899
CELL_PARAMETERS angstrom
-1.850 1.850 3.798
1.850 -1.850 3.798
1.850 1.850 -3.798
```

=====

Record 3
A crystal of MnIr4W relaxed with PBEsol, computed with meta-GGA SCAN. Values from VASP.

Calculated values
- calculated formation energy (eV per atom) = 0.161
- V (Å³/atom) = 15.274

Cell and atoms, written as Quantum ESPRESSO input:
```
&SYSTEM
  ibrav = 0, nat = 6, ntyp = 3
/
ATOMIC_SPECIES
Mn 54.94 Mn.upf
Ir 192.22 Ir.upf
W 183.84 W.upf
ATOMIC_POSITIONS angstrom
Mn 0.000 0.000 0.000
Ir 2.681 2.681 2.681
Ir 4.475 4.475 2.681
Ir 4.475 2.681 4.475
Ir 2.681 4.475 4.475
W 5.368 5.368 5.368
CELL_PARAMETERS angstrom
0.000 3.578 3.578
3.578 0.000 3.578
3.578 3.578 0.000
```

=====

Record 4
A crystal of Mn2IrW relaxed with PBEsol, computed with meta-GGA SCAN. Values from VASP.

Calculated values
- calculated formation energy (eV per atom) = -0.211
- V (Å³/atom) = 13.402

Cell and atoms, written as Quantum ESPRESSO input:
```
&SYSTEM
  ibrav = 0, nat = 4, ntyp = 3
/
ATOMIC_SPECIES
Mn 54.94 Mn.upf
Ir 192.22 Ir.upf
W 183.84 W.upf
ATOMIC_POSITIONS angstrom
Mn 0.000 0.000 0.000
Mn 1.496 1.496 1.496
Ir 4.489 4.489 4.489
W 2.993 2.993 2.993
CELL_PARAMETERS angstrom
0.000 2.993 2.993
2.993 0.000 2.993
2.993 2.993 0.000
```

=====

Record 5
A crystal of Mn2IrW relaxed with PBEsol, computed with meta-GGA SCAN. Values from VASP.

Calculated values
- calculated formation energy (eV per atom) = -0.119
- V (Å³/atom) = 12.889

Cell and atoms, written as Quantum ESPRESSO input:
```
&SYSTEM
  ibrav = 0, nat = 4, ntyp = 3
/
ATOMIC_SPECIES
Mn 54.94 Mn.upf
Ir 192.22 Ir.upf
W 183.84 W.upf
ATOMIC_POSITIONS angstrom
Mn 0.000 0.000 0.000
Mn 6.282 0.000 0.977
Ir 3.864 0.000 2.077
W 1.520 0.000 3.259
CELL_PARAMETERS angstrom
4.366 -1.331 0.000
4.366 1.331 0.000
-0.824 0.000 4.435
```

=====

Record 6
A crystal of YMn2Ir relaxed with PBEsol, computed with meta-GGA SCAN. Values from VASP.

Calculated values
- calculated formation energy (eV per atom) = -0.190
- V (Å³/atom) = 16.489

Cell and atoms, written as Quantum ESPRESSO input:
```
&SYSTEM
  ibrav = 0, nat = 4, ntyp = 3
/
ATOMIC_SPECIES
Y 88.91 Y.upf
Mn 54.94 Mn.upf
Ir 192.22 Ir.upf
ATOMIC_POSITIONS angstrom
Y 0.000 0.000 0.000
Mn 1.562 1.562 2.035
Mn 1.562 1.562 4.727
Ir 0.000 0.000 3.381
CELL_PARAMETERS angstrom
3.123 0.000 0.000
0.000 3.123 0.000
0.000 0.000 6.762
```

=====

Record 7
A crystal of YMn2Ir relaxed with PBEsol, computed with meta-GGA SCAN. Values from VASP.

Calculated values
- calculated formation energy (eV per atom) = -0.438
- V (Å³/atom) = 16.324

Cell and atoms, written as Quantum ESPRESSO input:
```
&SYSTEM
  ibrav = 0, nat = 4, ntyp = 3
/
ATOMIC_SPECIES
Y 88.91 Y.upf
Mn 54.94 Mn.upf
Ir 192.22 Ir.upf
ATOMIC_POSITIONS angstrom
Y 0.000 0.000 0.000
Mn 0.000 0.000 3.192
Mn 0.000 2.261 1.596
Ir 2.261 0.000 1.596
CELL_PARAMETERS angstrom
-2.261 2.261 3.192
2.261 -2.261 3.192
2.261 2.261 -3.192
```

=====

Record 8
A crystal of YMnIr relaxed with PBEsol, computed with meta-GGA SCAN. Values from VASP.

Calculated values
- calculated formation energy (eV per atom) = -0.164
- V (Å³/atom) = 19.148

Cell and atoms, written as Quantum ESPRESSO input:
```
&SYSTEM
  ibrav = 0, nat = 3, ntyp = 3
/
ATOMIC_SPECIES
Y 88.91 Y.upf
Mn 54.94 Mn.upf
Ir 192.22 Ir.upf
ATOMIC_POSITIONS angstrom
Y 0.000 0.000 0.000
Mn 4.594 4.594 4.594
Ir 3.062 3.062 3.062
CELL_PARAMETERS angstrom
0.000 3.062 3.062
3.062 0.000 3.062
3.062 3.062 0.000
```

=====

Record 9
A crystal of YMnIr relaxed with PBEsol, computed with meta-GGA SCAN. Values from VASP.

Calculated values
- calculated formation energy (eV per atom) = -0.588
- V (Å³/atom) = 19.096

Cell and atoms, written as Quantum ESPRESSO input:
```
&SYSTEM
  ibrav = 0, nat = 3, ntyp = 3
/
ATOMIC_SPECIES
Y 88.91 Y.upf
Mn 54.94 Mn.upf
Ir 192.22 Ir.upf
ATOMIC_POSITIONS angstrom
Y 0.000 0.000 0.000
Mn 2.068 1.194 1.934
Ir 0.000 2.387 1.934
CELL_PARAMETERS angstrom
4.135 0.000 0.000
-2.068 3.581 0.000
0.000 0.000 3.869
```

=====

Record 10
A crystal of MnZnIr3 relaxed with PBEsol, computed with meta-GGA SCAN. Values from VASP.

Calculated values
- calculated formation energy (eV per atom) = 1.365
- V (Å³/atom) = 17.484

Cell and atoms, written as Quantum ESPRESSO input:
```
&SYSTEM
  ibrav = 0, nat = 5, ntyp = 3
/
ATOMIC_SPECIES
Mn 54.94 Mn.upf
Zn 65.41 Zn.upf
Ir 192.22 Ir.upf
ATOMIC_POSITIONS angstrom
Mn 0.000 0.000 0.000
Zn 2.219 2.219 2.219
Ir 0.000 2.219 2.219
Ir 2.219 0.000 2.219
Ir 2.219 2.219 0.000
CELL_PARAMETERS angstrom
4.438 0.000 0.000
0.000 4.438 0.000
0.000 0.000 4.438
```

=====

Record 11
A crystal of MnZnIr3 relaxed with PBEsol, computed with meta-GGA SCAN. Values from VASP.

Calculated values
- calculated formation energy (eV per atom) = 1.392
- V (Å³/atom) = 17.014

Cell and atoms, written as Quantum ESPRESSO input:
```
&SYSTEM
  ibrav = 0, nat = 5, ntyp = 3
/
ATOMIC_SPECIES
Mn 54.94 Mn.upf
Zn 65.41 Zn.upf
Ir 192.22 Ir.upf
ATOMIC_POSITIONS angstrom
Mn 0.000 0.000 0.000
Zn 2.199 2.199 2.199
Ir 0.000 0.000 2.199
Ir 0.000 2.199 0.000
Ir 2.199 0.000 0.000
CELL_PARAMETERS angstrom
4.398 0.000 0.000
0.000 4.398 0.000
0.000 0.000 4.398
```

=====

Record 12
A crystal of MnZnIr relaxed with PBEsol, computed with meta-GGA SCAN. Values from VASP.

Calculated values
- calculated formation energy (eV per atom) = -0.160
- V (Å³/atom) = 12.749

Cell and atoms, written as Quantum ESPRESSO input:
```
&SYSTEM
  ibrav = 0, nat = 3, ntyp = 3
/
ATOMIC_SPECIES
Mn 54.94 Mn.upf
Zn 65.41 Zn.upf
Ir 192.22 Ir.upf
ATOMIC_POSITIONS angstrom
Mn 0.000 0.000 0.000
Zn 0.000 0.000 7.134
Ir 0.000 0.000 3.754
CELL_PARAMETERS angstrom
-1.339 1.339 5.334
1.339 -1.339 5.334
1.339 1.339 -5.334
```

=====

Record 13
A crystal of Mn2ZnIr relaxed with PBEsol, computed with meta-GGA SCAN. Values from VASP.

Calculated values
- calculated formation energy (eV per atom) = -0.282
- V (Å³/atom) = 12.769

Cell and atoms, written as Quantum ESPRESSO input:
```
&SYSTEM
  ibrav = 0, nat = 4, ntyp = 3
/
ATOMIC_SPECIES
Mn 54.94 Mn.upf
Zn 65.41 Zn.upf
Ir 192.22 Ir.upf
ATOMIC_POSITIONS angstrom
Mn 0.000 0.000 0.000
Mn 1.472 1.472 1.472
Zn 2.945 2.945 2.945
Ir 4.417 4.417 4.417
CELL_PARAMETERS angstrom
0.000 2.945 2.945
2.945 0.000 2.945
2.945 2.945 0.000
```

=====

Number 1: uncorrected energy -44.43 eV per atom, M_tot 0.79 μB/atom, mass density 15.7 g cm⁻³. Number 2: uncorrected energy -44.61 eV per atom, M_tot 0.17 μB/atom, mass density 15.5 g cm⁻³. Number 3: uncorrected energy -61.90 eV per atom, M_tot 0.68 μB/atom, mass density 18.3 g cm⁻³. Number 4: uncorrected energy -44.54 eV per atom, M_tot 1.19 μB/atom, mass density 15.1 g cm⁻³. Number 5: uncorrected energy -44.44 eV per atom, M_tot 0.05 μB/atom, mass density 15.7 g cm⁻³. Number 6: uncorrected energy -34.05 eV per atom, M_tot 1.92 μB/atom, mass density 9.8 g cm⁻³. Number 7: uncorrected energy -34.30 eV per atom, M_tot 0.24 μB/atom, mass density 9.9 g cm⁻³. Number 8: uncorrected energy -39.23 eV per atom, M_tot 1.35 μB/atom, mass density 9.7 g cm⁻³. Number 9: uncorrected energy -39.65 eV per atom, M_tot 1.06 μB/atom, mass density 9.7 g cm⁻³. Number 10: uncorrected energy -47.65 eV per atom, M_tot 0.89 μB/atom, mass density 13.2 g cm⁻³. Number 11: uncorrected energy -47.62 eV per atom, M_tot 0.00 μB/atom, mass density 13.6 g cm⁻³. Number 12: uncorrected energy -34.45 eV per atom, M_tot 0.57 μB/atom, mass density 13.6 g cm⁻³. Number 13: uncorrected energy -30.56 eV per atom, M_tot 1.75 μB/atom, mass density 11.9 g cm⁻³.